No. 1
A plane-wave DFT calculation with GGA-PBE was carried out for a geometry-optimized CdAg2AsO4 structure.

The value obtained for the size of the total moment is 0.00 μB/f.u. The calculation puts the uncorrected formation energy at -727 meV/atom.

Geometry as CIF:
```
data_CdAg2AsO4
_chemical_formula_sum 'Cd1 Ag2 As1 O4'
_cell_length_a 5.9772
_cell_length_b 5.9772
_cell_length_c 5.9772
_cell_angle_alpha 77.69
_cell_angle_beta 127.34
_cell_angle_gamma 127.34
_symmetry_space_group_name_H-M 'P 1'
_symmetry_Int_Tables_number 1
loop_
_symmetry_equiv_pos_as_xyz
'x,y,z'
loop_
_atom_site_label
_atom_site_fract_x
_atom_site_fract_y
_atom_site_fract_z
Cd1 0.5000 0.2500 0.7500
Ag1 0.5000 0.7500 0.2500
Ag2 0.0000 0.0000 0.0000
As1 0.0000 0.5000 0.5000
O1 0.6138 0.4008 0.4263
O2 0.0256 0.2130 0.5992
O3 0.9744 0.5737 0.1875
O4 0.3862 0.8125 0.7870
```

No. 2
A plane-wave DFT calculation with GGA-PBE was carried out for a geometry-optimized CdAgAsO4 structure.

The value obtained for the size of the total moment is 0.00 μB/f.u. The calculation puts the uncorrected formation energy at -985 meV/atom.

Geometry as CIF:
```
data_CdAgAsO4
_chemical_formula_sum 'Cd1 Ag1 As1 O4'
_cell_length_a 5.6377
_cell_length_b 5.6377
_cell_length_c 5.6020
_cell_angle_alpha 120.21
_cell_angle_beta 120.21
_cell_angle_gamma 90.00
_symmetry_space_group_name_H-M 'P 1'
_symmetry_Int_Tables_number 1
loop_
_symmetry_equiv_pos_as_xyz
'x,y,z'
loop_
_atom_site_label
_atom_site_fract_x
_atom_site_fract_y
_atom_site_fract_z
Cd1 0.5000 0.5000 0.0000
Ag1 0.0000 0.0000 0.0000
As1 0.2500 0.7500 0.5000
O1 0.2031 0.0645 0.7416
O2 0.3229 0.7969 0.2584
O3 0.5385 0.6771 0.7416
O4 0.9355 0.4615 0.2584
```